# GGA-PBE HfMg, relaxed
# **Size of the total moment**: 0.00 Bohr magnetons per cell
# **Total energy**: -5.67 eV/atom
data_HfMg
_chemical_formula_sum 'Hf6 Mg6'
_cell_length_a 6.324
_cell_length_b 5.015
_cell_length_c 8.524
_cell_angle_alpha 90.00
_cell_angle_beta 100.63
_cell_angle_gamma 90.00
_symmetry_space_group_name_H-M 'P 1 21/m 1'
_symmetry_Int_Tables_number 11
_symmetry_space_group_name_Hall '-P 2yb'
loop_
_atom_site_label
_atom_site_fract_x
_atom_site_fract_y
_atom_site_fract_z
_atom_site_occupancy
Hf1 0.136 0.250 0.048 1
Hf2 0.190 0.750 0.261 1
Hf3 0.357 0.750 0.947 1
Mg1 0.024 0.750 0.606 1
Mg2 0.308 0.250 0.720 1
Mg3 0.472 0.250 0.394 1

---

# GGA-PBE FeCoPtPb, relaxed
# **Size of the total moment**: 14.12 Bohr magnetons per cell
# **Excess energy over the best structure of this formula in the dataset**: 0.000 eV/atom
# **Total energy**: -6.02 eV/atom
data_FeCoPtPb
_chemical_formula_sum 'Fe4 Co4 Pt4 Pb4'
_cell_length_a 6.254
_cell_length_b 6.254
_cell_length_c 6.254
_cell_angle_alpha 90.00
_cell_angle_beta 90.00
_cell_angle_gamma 90.00
_symmetry_space_group_name_H-M 'F -4 3 m'
_symmetry_Int_Tables_number 216
_symmetry_space_group_name_Hall 'F -4 2 3'
loop_
_atom_site_label
_atom_site_fract_x
_atom_site_fract_y
_atom_site_fract_z
_atom_site_occupancy
Fe1 0.000 0.000 0.000 1
Co1 0.000 0.000 0.500 1
Pt1 0.250 0.250 0.750 1
Pb1 0.250 0.250 0.250 1

---

# GGA-PBE RbSrNi, relaxed
# **Size of the total moment**: 0.71 Bohr magnetons per cell
# **Excess energy over the best structure of this formula in the dataset**: 0.000 eV/atom
# **Total energy**: -2.22 eV/atom
data_RbSrNi
_chemical_formula_sum 'Rb4 Sr4 Ni4'
_cell_length_a 7.647
_cell_length_b 7.647
_cell_length_c 7.647
_cell_angle_alpha 90.00
_cell_angle_beta 90.00
_cell_angle_gamma 90.00
_symmetry_space_group_name_H-M 'F -4 3 m'
_symmetry_Int_Tables_number 216
_symmetry_space_group_name_Hall 'F -4 2 3'
loop_
_atom_site_label
_atom_site_fract_x
_atom_site_fract_y
_atom_site_fract_z
_atom_site_occupancy
Rb1 0.000 0.000 0.000 1
Sr1 0.000 0.000 0.500 1
Ni1 0.250 0.250 0.250 1

---

# GGA-PBE MgZrCu2, relaxed
# **Size of the total moment**: 0.00 Bohr magnetons per cell
# **Total energy**: -4.46 eV/atom
data_MgZrCu2
_chemical_formula_sum 'Mg2 Zr2 Cu4'
_cell_length_a 6.543
_cell_length_b 6.588
_cell_length_c 3.058
_cell_angle_alpha 90.00
_cell_angle_beta 90.00
_cell_angle_gamma 90.00
_symmetry_space_group_name_H-M 'C m m m'
_symmetry_Int_Tables_number 65
_symmetry_space_group_name_Hall '-C 2 2'
loop_
_atom_site_label
_atom_site_fract_x
_atom_site_fract_y
_atom_site_fract_z
_atom_site_occupancy
Mg1 0.000 0.000 0.000 1
Zr1 0.000 0.500 0.000 1
Cu1 0.250 0.250 0.500 1

---

# GGA-PBE BeZnCoSi, relaxed
# **Size of the total moment**: 0.00 Bohr magnetons per cell
# **Excess energy over the best structure of this formula in the dataset**: 0.000 eV/atom
# **Total energy**: -4.39 eV/atom
data_BeZnCoSi
_chemical_formula_sum 'Be4 Zn4 Co4 Si4'
_cell_length_a 5.587
_cell_length_b 5.587
_cell_length_c 5.587
_cell_angle_alpha 90.00
_cell_angle_beta 90.00
_cell_angle_gamma 90.00
_symmetry_space_group_name_H-M 'F -4 3 m'
_symmetry_Int_Tables_number 216
_symmetry_space_group_name_Hall 'F -4 2 3'
loop_
_atom_site_label
_atom_site_fract_x
_atom_site_fract_y
_atom_site_fract_z
_atom_site_occupancy
Be1 0.000 0.000 0.000 1
Zn1 0.250 0.250 0.250 1
Co1 0.250 0.250 0.750 1
Si1 0.000 0.000 0.500 1

---

# GGA-PBE ZrTlTe2AuSe, relaxed
# **Size of the total moment**: 0.01 Bohr magnetons per cell
# **Excess energy over the best structure of this formula in the dataset**: 0.000 eV/atom
# **Total energy**: -4.66 eV/atom
data_ZrTlTe2AuSe
_chemical_formula_sum 'Zr2 Tl2 Te4 Au2 Se2'
_cell_length_a 8.630
_cell_length_b 4.085
_cell_length_c 10.455
_cell_angle_alpha 90.00
_cell_angle_beta 111.47
_cell_angle_gamma 90.00
_symmetry_space_group_name_H-M 'P 1 21/m 1'
_symmetry_Int_Tables_number 11
_symmetry_space_group_name_Hall '-P 2yb'
loop_
_atom_site_label
_atom_site_fract_x
_atom_site_fract_y
_atom_site_fract_z
_atom_site_occupancy
Zr1 0.187 0.250 0.162 1
Tl1 0.230 0.750 0.724 1
Te1 0.222 0.250 0.448 1
Te2 0.418 0.750 0.128 1
Au1 0.416 0.750 0.389 1
Se1 0.042 0.250 0.876 1

---

# GGA-PBE LaGeAuS3, relaxed
# **Size of the total moment**: 0.03 Bohr magnetons per cell
# **Total energy**: -5.00 eV/atom
data_LaGeAuS3
_chemical_formula_sum 'La4 Ge4 Au4 S12'
_cell_length_a 3.945
_cell_length_b 12.672
_cell_length_c 10.935
_cell_angle_alpha 90.00
_cell_angle_beta 90.00
_cell_angle_gamma 90.00
_symmetry_space_group_name_H-M 'C m c m'
_symmetry_Int_Tables_number 63
_symmetry_space_group_name_Hall '-C 2c 2'
loop_
_atom_site_label
_atom_site_fract_x
_atom_site_fract_y
_atom_site_fract_z
_atom_site_occupancy
La1 0.000 0.000 0.000 1
Ge1 0.000 0.230 0.250 1
Au1 0.000 0.473 0.750 1
S1 0.000 0.104 0.750 1
S2 0.000 0.347 0.577 1

---

# GGA-PBE NaSmBr4, relaxed
# **Size of the total moment**: 0.00 Bohr magnetons per cell
# **Total energy**: -3.88 eV/atom
data_NaSmBr4
_chemical_formula_sum 'Na2 Sm2 Br8'
_cell_length_a 7.067
_cell_length_b 7.223
_cell_length_c 7.477
_cell_angle_alpha 89.39
_cell_angle_beta 87.73
_cell_angle_gamma 78.96
_symmetry_space_group_name_H-M 'P -1'
_symmetry_Int_Tables_number 2
_symmetry_space_group_name_Hall '-P 1'
loop_
_atom_site_label
_atom_site_fract_x
_atom_site_fract_y
_atom_site_fract_z
_atom_site_occupancy
Na1 0.227 0.184 0.048 1
Sm1 0.209 0.699 0.443 1
Br1 0.051 0.501 0.750 1
Br2 0.093 0.999 0.713 1
Br3 0.398 0.784 0.124 1
Br4 0.430 0.306 0.384 1

---

# GGA-PBE LuB2Pt, relaxed
# **Size of the total moment**: 0.01 Bohr magnetons per cell
# **Total energy**: -5.35 eV/atom
data_LuB2Pt
_chemical_formula_sum 'Lu4 B8 Pt4'
_cell_length_a 6.083
_cell_length_b 6.083
_cell_length_c 6.083
_cell_angle_alpha 90.00
_cell_angle_beta 90.00
_cell_angle_gamma 90.00
_symmetry_space_group_name_H-M 'F -4 3 m'
_symmetry_Int_Tables_number 216
_symmetry_space_group_name_Hall 'F -4 2 3'
loop_
_atom_site_label
_atom_site_fract_x
_atom_site_fract_y
_atom_site_fract_z
_atom_site_occupancy
Lu1 0.000 0.000 0.000 1
B1 0.000 0.000 0.500 1
B2 0.250 0.250 0.250 1
Pt1 0.250 0.250 0.750 1

---

# GGA-PBE SrZnSO, relaxed
# **Total energy**: -4.83 eV/atom
data_SrZnSO
_chemical_formula_sum 'Sr4 Zn4 S4 O4'
_cell_length_a 5.980
_cell_length_b 3.918
_cell_length_c 13.484
_cell_angle_alpha 90.00
_cell_angle_beta 90.00
_cell_angle_gamma 90.00
_symmetry_space_group_name_H-M 'P n m a'
_symmetry_Int_Tables_number 62
_symmetry_space_group_name_Hall '-P 2ac 2n'
loop_
_atom_site_label
_atom_site_fract_x
_atom_site_fract_y
_atom_site_fract_z
_atom_site_occupancy
Sr1 0.249 0.250 0.096 1
Zn1 0.167 0.750 0.316 1
S1 0.249 0.750 0.915 1
O1 0.166 0.250 0.692 1

---

# GGA-PBE CsAgCl3, relaxed
# **Total energy**: -2.93 eV/atom
data_CsAgCl3
_chemical_formula_sum 'Cs4 Ag4 Cl12'
_cell_length_a 7.344
_cell_length_b 7.344
_cell_length_c 10.857
_cell_angle_alpha 90.00
_cell_angle_beta 90.00
_cell_angle_gamma 90.00
_symmetry_space_group_name_H-M 'I 4/m m m'
_symmetry_Int_Tables_number 139
_symmetry_space_group_name_Hall '-I 4 2'
loop_
_atom_site_label
_atom_site_fract_x
_atom_site_fract_y
_atom_site_fract_z
_atom_site_occupancy
Cs1 0.000 0.500 0.250 1
Ag1 0.000 0.000 0.000 1
Ag2 0.000 0.000 0.500 1
Cl1 0.000 0.000 0.224 1
Cl2 0.236 0.236 0.500 1

---

# GGA-PBE AsIrAuO, relaxed
# **Size of the total moment**: 0.01 Bohr magnetons per cell
# **Excess energy over the best structure of this formula in the dataset**: 0.308 eV/atom
# **Total energy**: -5.27 eV/atom
data_AsIrAuO
_chemical_formula_sum 'As2 Ir2 Au2 O2'
_cell_length_a 4.046
_cell_length_b 4.046
_cell_length_c 7.747
_cell_angle_alpha 90.00
_cell_angle_beta 90.00
_cell_angle_gamma 90.00
_symmetry_space_group_name_H-M 'P 4/n m m'
_symmetry_Int_Tables_number 129
loop_
_symmetry_equiv_pos_as_xyz
'x,y,z'
'-x,-y,-z'
'-y+1/2,x,z'
'y+1/2,-x,-z'
'-x+1/2,-y+1/2,z'
'x+1/2,y+1/2,-z'
'y,-x+1/2,z'
'-y,x+1/2,-z'
'x+1/2,-y,-z'
'-x+1/2,y,z'
'-y,-x,-z'
'y,x,z'
'-x,y+1/2,-z'
'x,-y+1/2,z'
'y+1/2,x+1/2,-z'
'-y+1/2,-x+1/2,z'
loop_
_atom_site_label
_atom_site_fract_x
_atom_site_fract_y
_atom_site_fract_z
_atom_site_occupancy
As1 0.250 0.250 0.185 1
Ir1 0.250 0.750 0.000 1
Au1 0.250 0.250 0.617 1
O1 0.250 0.750 0.500 1

---

# GGA-PBE Er2Lu3Hg3, relaxed
# **Size of the total moment**: 0.04 Bohr magnetons per cell
# **Excess energy over the best structure of this formula in the dataset**: 0.000 eV/atom
# **Total energy**: -3.19 eV/atom
data_Er2Lu3Hg3
_chemical_formula_sum 'Er2 Lu3 Hg3'
_cell_length_a 6.506
_cell_length_b 5.326
_cell_length_c 6.510
_cell_angle_alpha 90.00
_cell_angle_beta 116.50
_cell_angle_gamma 90.00
_symmetry_space_group_name_H-M 'P 1 m 1'
_symmetry_Int_Tables_number 6
_symmetry_space_group_name_Hall 'P -2y'
loop_
_atom_site_label
_atom_site_fract_x
_atom_site_fract_y
_atom_site_fract_z
_atom_site_occupancy
Er1 0.000 0.000 0.000 1
Er2 0.295 0.500 0.691 1
Lu1 0.484 0.000 0.480 1
Lu2 0.789 0.500 0.186 1
Lu3 0.802 0.500 0.679 1
Hg1 0.295 0.500 0.190 1
Hg2 0.493 0.000 0.993 1
Hg3 0.977 0.000 0.502 1

---

# GGA-PBE LuScCoSb, relaxed
# **Size of the total moment**: 5.17 Bohr magnetons per cell
# **Excess energy over the best structure of this formula in the dataset**: 0.000 eV/atom
# **Total energy**: -5.61 eV/atom
data_LuScCoSb
_chemical_formula_sum 'Lu4 Sc4 Co4 Sb4'
_cell_length_a 6.776
_cell_length_b 6.776
_cell_length_c 6.776
_cell_angle_alpha 90.00
_cell_angle_beta 90.00
_cell_angle_gamma 90.00
_symmetry_space_group_name_H-M 'F -4 3 m'
_symmetry_Int_Tables_number 216
_symmetry_space_group_name_Hall 'F -4 2 3'
loop_
_atom_site_label
_atom_site_fract_x
_atom_site_fract_y
_atom_site_fract_z
_atom_site_occupancy
Lu1 0.000 0.000 0.000 1
Sc1 0.250 0.250 0.250 1
Co1 0.250 0.250 0.750 1
Sb1 0.000 0.000 0.500 1

---

# GGA-PBE ScCuSiTc, relaxed
# **Size of the total moment**: 0.05 Bohr magnetons per cell
# **Excess energy over the best structure of this formula in the dataset**: 0.000 eV/atom
# **Total energy**: -6.69 eV/atom
data_ScCuSiTc
_chemical_formula_sum 'Sc4 Cu4 Si4 Tc4'
_cell_length_a 6.135
_cell_length_b 6.135
_cell_length_c 6.135
_cell_angle_alpha 90.00
_cell_angle_beta 90.00
_cell_angle_gamma 90.00
_symmetry_space_group_name_H-M 'F -4 3 m'
_symmetry_Int_Tables_number 216
_symmetry_space_group_name_Hall 'F -4 2 3'
loop_
_atom_site_label
_atom_site_fract_x
_atom_site_fract_y
_atom_site_fract_z
_atom_site_occupancy
Sc1 0.000 0.000 0.000 1
Cu1 0.250 0.250 0.750 1
Si1 0.000 0.000 0.500 1
Tc1 0.250 0.250 0.250 1

---

# GGA-PBE DyLuCSe, relaxed
# **Size of the total moment**: 0.01 Bohr magnetons per cell
# **Total energy**: -6.63 eV/atom
data_DyLuCSe
_chemical_formula_sum 'Dy2 Lu2 C2 Se2'
_cell_length_a 3.7135
_cell_length_b 3.7135
_cell_length_c 13.1027
_cell_angle_alpha 90.00
_cell_angle_beta 90.00
_cell_angle_gamma 120.00
_symmetry_space_group_name_H-M 'P 63 m c'
_symmetry_Int_Tables_number 186
_symmetry_space_group_name_Hall 'P 6c -2c'
loop_
_atom_site_label
_atom_site_fract_x
_atom_site_fract_y
_atom_site_fract_z
_atom_site_occupancy
Dy1 0.3333 0.6667 0.0000 1
Lu1 0.3333 0.6667 0.6990 1
C1 0.0000 0.0000 0.1013 1
Se1 0.3333 0.6667 0.3457 1

---

# GGA-PBE ZnFeCoW, relaxed
# **Size of the total moment**: 4.15 Bohr magnetons per cell
# **Excess energy over the best structure of this formula in the dataset**: 0.000 eV/atom
# **Total energy**: -7.36 eV/atom
data_ZnFeCoW
_chemical_formula_sum 'Zn4 Fe4 Co4 W4'
_cell_length_a 5.841
_cell_length_b 5.841
_cell_length_c 5.841
_cell_angle_alpha 90.00
_cell_angle_beta 90.00
_cell_angle_gamma 90.00
_symmetry_space_group_name_H-M 'F -4 3 m'
_symmetry_Int_Tables_number 216
_symmetry_space_group_name_Hall 'F -4 2 3'
loop_
_atom_site_label
_atom_site_fract_x
_atom_site_fract_y
_atom_site_fract_z
_atom_site_occupancy
Zn1 0.000 0.000 0.000 1
Fe1 0.250 0.250 0.750 1
Co1 0.250 0.250 0.250 1
W1 0.000 0.000 0.500 1

---

# GGA-PBE SrSmS2, relaxed
# **Size of the total moment**: 0.01 Bohr magnetons per cell
# **Total energy**: -5.69 eV/atom
data_SrSmS2
_chemical_formula_sum 'Sr1 Sm1 S2'
_cell_length_a 4.116
_cell_length_b 4.116
_cell_length_c 5.819
_cell_angle_alpha 90.00
_cell_angle_beta 90.00
_cell_angle_gamma 90.00
_symmetry_space_group_name_H-M 'P 4/m m m'
_symmetry_Int_Tables_number 123
_symmetry_space_group_name_Hall '-P 4 2'
loop_
_atom_site_label
_atom_site_fract_x
_atom_site_fract_y
_atom_site_fract_z
_atom_site_occupancy
Sr1 0.000 0.000 0.000 1
Sm1 0.500 0.500 0.500 1
S1 0.000 0.000 0.500 1
S2 0.500 0.500 0.000 1

---

# GGA-PBE GdLu2Fe9, relaxed
# **Size of the total moment**: 46.41 Bohr magnetons per cell
# **Total energy**: -7.48 eV/atom
data_GdLu2Fe9
_chemical_formula_sum 'Gd3 Lu6 Fe27'
_cell_length_a 5.0144
_cell_length_b 5.0144
_cell_length_c 23.8885
_cell_angle_alpha 90.00
_cell_angle_beta 90.00
_cell_angle_gamma 120.00
_symmetry_space_group_name_H-M 'R -3 m'
_symmetry_Int_Tables_number 166
_symmetry_space_group_name_Hall '-R 3 2"'
loop_
_atom_site_label
_atom_site_fract_x
_atom_site_fract_y
_atom_site_fract_z
_atom_site_occupancy
Gd1 0.0000 0.0000 0.0000 1
Lu1 0.0000 0.0000 0.1423 1
Fe1 0.0000 0.0000 0.3328 1
Fe2 0.0000 0.0000 0.5000 1
Fe3 0.0009 0.5005 0.9170 1

---

# GGA-PBE Ho5Se4S, relaxed
# **Size of the total moment**: 0.01 Bohr magnetons per cell
# **Total energy**: -5.87 eV/atom
data_Ho5Se4S
_chemical_formula_sum 'Ho15 Se12 S3'
_cell_length_a 4.0184
_cell_length_b 4.0184
_cell_length_c 49.4144
_cell_angle_alpha 90.00
_cell_angle_beta 90.00
_cell_angle_gamma 120.00
_symmetry_space_group_name_H-M 'R -3 m'
_symmetry_Int_Tables_number 166
_symmetry_space_group_name_Hall '-R 3 2"'
loop_
_atom_site_label
_atom_site_fract_x
_atom_site_fract_y
_atom_site_fract_z
_atom_site_occupancy
Ho1 0.0000 0.0000 0.0000 1
Ho2 0.0000 0.0000 0.1962 1
Ho3 0.0000 0.0000 0.4008 1
Se1 0.0000 0.0000 0.1019 1
Se2 0.0000 0.0000 0.2994 1
S1 0.0000 0.0000 0.5000 1